PBE-GGA Zr2Fe3Mo4C3, optimized geometry; final energy = -9.62 eV/atom; total magnetization = 6.04 μB/f.u.; volume = 322.55 Å³ per cell
1.0
4.596 -2.650 0.000
4.596 2.650 0.000
-3.113 0.000 13.241
Fe Zr C Mo
6 4 6 8
Cartesian
2.262 2.218 9.931 Fe
4.535 0.865 9.942 Fe
3.818 -2.218 3.310 Fe
-0.011 0.865 9.919 Fe
6.091 -0.865 3.321 Fe
1.545 -0.865 3.299 Fe
3.798 0.441 5.053 Zr
2.242 -0.441 11.673 Zr
2.282 -0.441 8.188 Zr
3.838 0.441 1.568 Zr
3.841 -1.308 0.000 C
2.285 1.308 6.620 C
3.796 -1.308 6.620 C
5.352 1.308 0.000 C
0.742 -1.325 6.620 C
2.298 1.325 0.000 C
-0.777 -0.430 12.123 Mo
0.779 0.430 5.503 Mo
5.322 -0.483 12.123 Mo
6.857 0.430 1.118 Mo
6.878 0.483 5.503 Mo
0.759 0.483 1.118 Mo
5.301 -0.430 7.738 Mo
-0.798 -0.483 7.738 Mo